# PBE+U Li3Mn2O4, optimized geometry
# space group: C2/m, No. 12
# uncorrected energy: -6.17 eV/atom
# volume: 100 Å³/cell
# energy above the most stable polymorph in this dataset: 0 meV/atom
# D(E_F): 3.88 states/eV per cell
data_Li3Mn2O4
_chemical_formula_sum 'Li3 Mn2 O4'
_cell_length_a 3.1913
_cell_length_b 3.1913
_cell_length_c 11.8422
_cell_angle_alpha 85.21
_cell_angle_beta 94.79
_cell_angle_gamma 123.98
_space_group_name_H-M_alt 'P 1'
_space_group_IT_number 1
loop_
_space_group_symop_operation_xyz
'x,y,z'
loop_
_atom_site_label
_atom_site_fract_x
_atom_site_fract_y
_atom_site_fract_z
_atom_site_occupancy
Li1 0.6721 0.3279 0.3734 1
Li2 0.0000 0.0000 0.0000 1
Li3 0.3279 0.6721 0.6266 1
Mn1 0.6549 0.3451 0.7985 1
Mn2 0.3451 0.6549 0.2015 1
O1 0.3295 0.6705 0.8869 1
O2 0.9812 0.0188 0.3201 1
O3 0.0188 0.9812 0.6799 1
O4 0.6705 0.3295 0.1131 1